This record from Alexandria describes Ga3Fe after structural relaxation. The functional is PBE.

Cell: 6.2661 6.2661 6.5460 Å, 90.00 90.00 90.00°
Atoms (fractional coordinates):
Ga: 0.8441 0.1559 0.7631
Ga: 0.6559 0.6559 0.7369
Ga: 0.1559 0.8441 0.2369
Ga: 0.1559 0.8441 0.7631
Ga: 0.0000 0.5000 0.0000
Ga: 0.3441 0.3441 0.2631
Ga: 0.5000 0.0000 0.5000
Ga: 0.6559 0.6559 0.2631
Ga: 0.8441 0.1559 0.2369
Ga: 0.3441 0.3441 0.7369
Ga: 0.0000 0.5000 0.5000
Ga: 0.5000 0.0000 0.0000
Fe: 0.3438 0.6562 0.5000
Fe: 0.6562 0.3438 0.5000
Fe: 0.8438 0.8438 0.0000
Fe: 0.1562 0.1562 0.0000

Output
Its crystal system is tetragonal. Its space group is P4_2/mnm, No. 136. As for the total energy: -4.624 eV/atom. The calculation puts the formation energy at -239 meV per atom.